Record 1
DFT (PBE) results for LiCoTe2AuS after structural relaxation.

Structure (CIF):
```
data_LiCoTe2AuS
_chemical_formula_sum 'Li4 Co4 Te8 Au4 S4'
_space_group_name_H-M_alt 'C m c m'
_space_group_IT_number 63
_space_group_name_Hall '-C 2c 2'
_cell_length_a 3.676
_cell_length_b 14.056
_cell_length_c 9.852
_cell_angle_alpha 90.00
_cell_angle_beta 90.00
_cell_angle_gamma 90.00
loop_
_atom_site_label
_atom_site_fract_x
_atom_site_fract_y
_atom_site_fract_z
Li1 0.000 0.231 0.250
Co1 0.000 0.500 0.000
Te1 0.000 0.125 0.013
Au1 0.000 0.134 0.750
S1 0.000 0.461 0.750
```


Record 2
DFT (PBE) results for LiCoTeAuS2 after structural relaxation.

Structure (CIF):
```
data_LiCoTeAuS2
_chemical_formula_sum 'Li4 Co4 Te4 Au4 S8'
_space_group_name_H-M_alt 'C m c m'
_space_group_IT_number 63
_space_group_name_Hall '-C 2c 2'
_cell_length_a 3.327
_cell_length_b 14.188
_cell_length_c 9.906
_cell_angle_alpha 90.00
_cell_angle_beta 90.00
_cell_angle_gamma 90.00
loop_
_atom_site_label
_atom_site_fract_x
_atom_site_fract_y
_atom_site_fract_z
Li1 0.000 0.223 0.250
Co1 0.000 0.500 0.000
Te1 0.000 0.438 0.750
Au1 0.000 0.133 0.750
S1 0.000 0.108 0.516
```


Record 3
# LiCoSbAu | the Open Quantum Materials Database | PBE | relaxed
# Energy above the lowest structure with this stoichiometry, meV per atom: 0
data_LiCoSbAu
_chemical_formula_sum 'Li4 Co4 Sb4 Au4'
_space_group_name_H-M_alt 'F -4 3 m'
_space_group_IT_number 216
_space_group_name_Hall 'F -4 2 3'
_cell_length_a 6.324
_cell_length_b 6.324
_cell_length_c 6.324
_cell_angle_alpha 90.00
_cell_angle_beta 90.00
_cell_angle_gamma 90.00
loop_
_atom_site_label
_atom_site_fract_x
_atom_site_fract_y
_atom_site_fract_z
Li1 0.000 0.000 0.000
Co1 0.000 0.000 0.500
Sb1 0.250 0.250 0.250
Au1 0.250 0.250 0.750


Record 4
DFT (PBE) results for LiCoAuSe3 after structural relaxation.

Structure (CIF):
```
data_LiCoAuSe3
_chemical_formula_sum 'Li4 Co4 Au4 Se12'
_space_group_name_H-M_alt 'C m c m'
_space_group_IT_number 63
_space_group_name_Hall '-C 2c 2'
_cell_length_a 3.449
_cell_length_b 13.662
_cell_length_c 9.799
_cell_angle_alpha 90.00
_cell_angle_beta 90.00
_cell_angle_gamma 90.00
loop_
_atom_site_label
_atom_site_fract_x
_atom_site_fract_y
_atom_site_fract_z
Li1 0.000 0.206 0.250
Co1 0.000 0.500 0.000
Au1 0.000 0.144 0.750
Se1 0.000 0.122 0.502
Se2 0.000 0.451 0.750
```


Record 5
DFT (PBE) results for LiCoTeAuSe2 after structural relaxation.

Structure (CIF):
```
data_LiCoTeAuSe2
_chemical_formula_sum 'Li4 Co4 Te4 Au4 Se8'
_space_group_name_H-M_alt 'C m c m'
_space_group_IT_number 63
_space_group_name_Hall '-C 2c 2'
_cell_length_a 3.473
_cell_length_b 14.112
_cell_length_c 10.143
_cell_angle_alpha 90.00
_cell_angle_beta 90.00
_cell_angle_gamma 90.00
loop_
_atom_site_label
_atom_site_fract_x
_atom_site_fract_y
_atom_site_fract_z
Li1 0.000 0.217 0.250
Co1 0.000 0.500 0.000
Te1 0.000 0.447 0.750
Au1 0.000 0.140 0.750
Se1 0.000 0.117 0.509
```


Record 6
DFT (PBE) results for LiCoTe3Au after structural relaxation.

Structure (CIF):
```
data_LiCoTe3Au
_chemical_formula_sum 'Li4 Co4 Te12 Au4'
_space_group_name_H-M_alt 'C m c m'
_space_group_IT_number 63
_space_group_name_Hall '-C 2c 2'
_cell_length_a 3.740
_cell_length_b 13.839
_cell_length_c 10.614
_cell_angle_alpha 90.00
_cell_angle_beta 90.00
_cell_angle_gamma 90.00
loop_
_atom_site_label
_atom_site_fract_x
_atom_site_fract_y
_atom_site_fract_z
Li1 0.000 0.217 0.250
Co1 0.000 0.500 0.000
Te1 0.000 0.126 0.504
Te2 0.000 0.453 0.750
Au1 0.000 0.144 0.750
```


Record 7
# LiTlCoAu | the Open Quantum Materials Database | PBE | relaxed
# Energy above the lowest structure with this stoichiometry, meV per atom: 0
data_LiTlCoAu
_chemical_formula_sum 'Li4 Tl4 Co4 Au4'
_space_group_name_H-M_alt 'F -4 3 m'
_space_group_IT_number 216
_space_group_name_Hall 'F -4 2 3'
_cell_length_a 6.335
_cell_length_b 6.335
_cell_length_c 6.335
_cell_angle_alpha 90.00
_cell_angle_beta 90.00
_cell_angle_gamma 90.00
loop_
_atom_site_label
_atom_site_fract_x
_atom_site_fract_y
_atom_site_fract_z
Li1 0.000 0.000 0.000
Tl1 0.250 0.250 0.250
Co1 0.000 0.000 0.500
Au1 0.250 0.250 0.750


Record 8
# LuCoAu2 | the Open Quantum Materials Database | PBE | relaxed
# E_form, eV/atom: -0.288
data_LuCoAu2
_chemical_formula_sum 'Lu4 Co4 Au8'
_space_group_name_H-M_alt 'F -4 3 m'
_space_group_IT_number 216
_space_group_name_Hall 'F -4 2 3'
_cell_length_a 6.594
_cell_length_b 6.594
_cell_length_c 6.594
_cell_angle_alpha 90.00
_cell_angle_beta 90.00
_cell_angle_gamma 90.00
loop_
_atom_site_label
_atom_site_fract_x
_atom_site_fract_y
_atom_site_fract_z
Lu1 0.000 0.000 0.000
Co1 0.250 0.250 0.250
Au1 0.000 0.000 0.500
Au2 0.250 0.250 0.750


Record 9
DFT (PBE) results for Lu4CoAuN2 after structural relaxation.

Structure (CIF):
```
data_Lu4CoAuN2
_chemical_formula_sum 'Lu4 Co1 Au1 N2'
_space_group_name_H-M_alt 'P -6 m 2'
_space_group_IT_number 187
_space_group_name_Hall 'P -6 2'
_cell_length_a 3.3646
_cell_length_b 3.3646
_cell_length_c 13.9267
_cell_angle_alpha 90.00
_cell_angle_beta 90.00
_cell_angle_gamma 120.00
loop_
_atom_site_label
_atom_site_fract_x
_atom_site_fract_y
_atom_site_fract_z
Lu1 0.0000 0.0000 0.1401
Lu2 0.3333 0.6667 0.3351
Co1 0.3333 0.6667 0.0000
Au1 0.0000 0.0000 0.5000
N1 0.6667 0.3333 0.2444
```


Record 10
# LuCoPbAu | the Open Quantum Materials Database | PBE | relaxed
# Energy above the lowest structure with this stoichiometry, meV per atom: 0
data_LuCoPbAu
_chemical_formula_sum 'Lu4 Co4 Pb4 Au4'
_space_group_name_H-M_alt 'F -4 3 m'
_space_group_IT_number 216
_space_group_name_Hall 'F -4 2 3'
_cell_length_a 6.801
_cell_length_b 6.801
_cell_length_c 6.801
_cell_angle_alpha 90.00
_cell_angle_beta 90.00
_cell_angle_gamma 90.00
loop_
_atom_site_label
_atom_site_fract_x
_atom_site_fract_y
_atom_site_fract_z
Lu1 0.000 0.000 0.000
Co1 0.250 0.250 0.750
Pb1 0.000 0.000 0.500
Au1 0.250 0.250 0.250


Record 11
# LuCoPbAu | the Open Quantum Materials Database | PBE | relaxed
# Energy above the lowest structure with this stoichiometry, meV per atom: 61
data_LuCoPbAu
_chemical_formula_sum 'Lu4 Co4 Pb4 Au4'
_space_group_name_H-M_alt 'F -4 3 m'
_space_group_IT_number 216
_space_group_name_Hall 'F -4 2 3'
_cell_length_a 6.781
_cell_length_b 6.781
_cell_length_c 6.781
_cell_angle_alpha 90.00
_cell_angle_beta 90.00
_cell_angle_gamma 90.00
loop_
_atom_site_label
_atom_site_fract_x
_atom_site_fract_y
_atom_site_fract_z
Lu1 0.000 0.000 0.000
Co1 0.000 0.000 0.500
Pb1 0.250 0.250 0.250
Au1 0.250 0.250 0.750


Record 12
# LuCoSbAu | the Open Quantum Materials Database | PBE | relaxed
# Energy above the lowest structure with this stoichiometry, meV per atom: 236
data_LuCoSbAu
_chemical_formula_sum 'Lu4 Co4 Sb4 Au4'
_space_group_name_H-M_alt 'F -4 3 m'
_space_group_IT_number 216
_space_group_name_Hall 'F -4 2 3'
_cell_length_a 6.772
_cell_length_b 6.772
_cell_length_c 6.772
_cell_angle_alpha 90.00
_cell_angle_beta 90.00
_cell_angle_gamma 90.00
loop_
_atom_site_label
_atom_site_fract_x
_atom_site_fract_y
_atom_site_fract_z
Lu1 0.000 0.000 0.000
Co1 0.250 0.250 0.750
Sb1 0.250 0.250 0.250
Au1 0.000 0.000 0.500


Record 13
# LuCoSbAu | the Open Quantum Materials Database | PBE | relaxed
# Energy above the lowest structure with this stoichiometry, meV per atom: 0
data_LuCoSbAu
_chemical_formula_sum 'Lu4 Co4 Sb4 Au4'
_space_group_name_H-M_alt 'F -4 3 m'
_space_group_IT_number 216
_space_group_name_Hall 'F -4 2 3'
_cell_length_a 6.717
_cell_length_b 6.717
_cell_length_c 6.717
_cell_angle_alpha 90.00
_cell_angle_beta 90.00
_cell_angle_gamma 90.00
loop_
_atom_site_label
_atom_site_fract_x
_atom_site_fract_y
_atom_site_fract_z
Lu1 0.000 0.000 0.000
Co1 0.250 0.250 0.750
Sb1 0.000 0.000 0.500
Au1 0.250 0.250 0.250


no.,VASP energy (eV/cell)
1,-93.645
2,-102.402
3,-67.906
4,-98.007
5,-96.749
6,-91.946
7,-58.083
8,-77.264
9,-52.844
10,-76.483
11,-75.507
12,-76.116
13,-79.888